(1)
# CsTeSe3 | the Alexandria database | GGA-PBE | relaxed
data_CsTeSe3
_chemical_formula_sum 'Cs1 Te1 Se3'
_space_group_name_H-M_alt 'P 1'
_space_group_IT_number 1
_space_group_name_Hall 'P 1'
_cell_length_a 5.526
_cell_length_b 5.526
_cell_length_c 5.526
_cell_angle_alpha 90.00
_cell_angle_beta 90.00
_cell_angle_gamma 90.00
loop_
_atom_site_label
_atom_site_fract_x
_atom_site_fract_y
_atom_site_fract_z
Cs1 0.000 0.000 0.000
Te1 0.500 0.500 0.500
Se1 0.000 0.500 0.500
Se2 0.500 0.000 0.500
Se3 0.500 0.500 0.000
# Fermi-level density of states	4.5	states/eV/cell
# electronic total energy	-3.139	eV per atom
# symmetry	Pm-3m (221)
# energy relative to the elements, uncorrected	-0.25	eV/atom
# spin magnetization	0.00	μB/f.u.


(2)
# CsTe2Se | the Alexandria database | GGA-PBE | relaxed
data_CsTe2Se
_chemical_formula_sum 'Cs2 Te4 Se2'
_space_group_name_H-M_alt 'P 1'
_space_group_IT_number 1
_space_group_name_Hall 'P 1'
_cell_length_a 7.060
_cell_length_b 7.703
_cell_length_c 7.912
_cell_angle_alpha 84.95
_cell_angle_beta 73.65
_cell_angle_gamma 63.75
loop_
_atom_site_label
_atom_site_fract_x
_atom_site_fract_y
_atom_site_fract_z
Cs1 0.250 0.193 0.286
Cs2 0.750 0.807 0.714
Te1 0.059 0.168 0.844
Te2 0.399 0.643 0.155
Te3 0.601 0.357 0.845
Te4 0.941 0.832 0.156
Se1 0.270 0.368 0.695
Se2 0.730 0.632 0.305
# electronic total energy	-3.144	eV per atom
# symmetry	P-1 (2)
# energy relative to the elements, uncorrected	-0.49	eV/atom
# spin magnetization	0.00	μB/f.u.


(3)
# CsTe2Se2 | the Alexandria database | GGA-PBE | relaxed
data_CsTe2Se2
_chemical_formula_sum 'Cs2 Te4 Se4'
_space_group_name_H-M_alt 'P 1'
_space_group_IT_number 1
_space_group_name_Hall 'P 1'
_cell_length_a 9.979
_cell_length_b 9.979
_cell_length_c 4.428
_cell_angle_alpha 90.00
_cell_angle_beta 90.00
_cell_angle_gamma 90.00
loop_
_atom_site_label
_atom_site_fract_x
_atom_site_fract_y
_atom_site_fract_z
Cs1 0.000 0.000 0.000
Cs2 0.500 0.500 0.000
Te1 0.225 0.275 0.500
Te2 0.275 0.775 0.500
Te3 0.725 0.225 0.500
Te4 0.775 0.725 0.500
Se1 0.173 0.673 0.000
Se2 0.327 0.173 0.000
Se3 0.673 0.827 0.000
Se4 0.827 0.327 0.000
# Fermi-level density of states	8.5	states/eV/cell
# electronic total energy	-3.133	eV per atom
# symmetry	P4/mbm (127)
# energy relative to the elements, uncorrected	-0.31	eV/atom
# spin magnetization	0.00	μB/f.u.


(4)
# CsTeSe | the Alexandria database | GGA-PBE | relaxed
data_CsTeSe
_chemical_formula_sum 'Cs4 Te4 Se4'
_space_group_name_H-M_alt 'P 1'
_space_group_IT_number 1
_space_group_name_Hall 'P 1'
_cell_length_a 7.193
_cell_length_b 7.193
_cell_length_c 10.799
_cell_angle_alpha 90.00
_cell_angle_beta 90.00
_cell_angle_gamma 95.26
loop_
_atom_site_label
_atom_site_fract_x
_atom_site_fract_y
_atom_site_fract_z
Cs1 0.217 0.783 0.981
Cs2 0.283 0.717 0.481
Cs3 0.717 0.283 0.519
Cs4 0.783 0.217 0.019
Te1 0.164 0.336 0.750
Te2 0.336 0.164 0.250
Te3 0.664 0.836 0.750
Te4 0.836 0.664 0.250
Se1 0.013 0.987 0.699
Se2 0.487 0.513 0.199
Se3 0.513 0.487 0.801
Se4 0.987 0.013 0.301
# Fermi-level density of states	4.8	states/eV/cell
# electronic total energy	-3.127	eV per atom
# symmetry	Cmce (64)
# energy relative to the elements, uncorrected	-0.63	eV/atom
# spin magnetization	0.00	μB/f.u.


(5)
# Cs8Te2Se | the Alexandria database | GGA-PBE | relaxed
data_Cs8Te2Se
_chemical_formula_sum 'Cs8 Te2 Se1'
_space_group_name_H-M_alt 'P 1'
_space_group_IT_number 1
_space_group_name_Hall 'P 1'
_cell_length_a 10.940
_cell_length_b 10.940
_cell_length_c 11.163
_cell_angle_alpha 99.82
_cell_angle_beta 99.82
_cell_angle_gamma 33.43
loop_
_atom_site_label
_atom_site_fract_x
_atom_site_fract_y
_atom_site_fract_z
Cs1 0.061 0.061 0.214
Cs2 0.186 0.186 0.563
Cs3 0.312 0.312 0.941
Cs4 0.435 0.435 0.340
Cs5 0.565 0.565 0.660
Cs6 0.688 0.688 0.059
Cs7 0.814 0.814 0.437
Cs8 0.939 0.939 0.786
Te1 0.248 0.248 0.251
Te2 0.752 0.752 0.749
Se1 0.000 0.000 0.500
# Fermi-level density of states	3.1	states/eV/cell
# electronic total energy	-2.324	eV per atom
# symmetry	C2/m (12)
# energy relative to the elements, uncorrected	-0.82	eV/atom
# spin magnetization	0.00	μB/f.u.


(6)
# CsTeSe | the Alexandria database | GGA-PBE | relaxed
data_CsTeSe
_chemical_formula_sum 'Cs4 Te4 Se4'
_space_group_name_H-M_alt 'P 1'
_space_group_IT_number 1
_space_group_name_Hall 'P 1'
_cell_length_a 11.987
_cell_length_b 6.115
_cell_length_c 7.738
_cell_angle_alpha 90.00
_cell_angle_beta 90.00
_cell_angle_gamma 90.00
loop_
_atom_site_label
_atom_site_fract_x
_atom_site_fract_y
_atom_site_fract_z
Cs1 0.176 0.250 0.007
Cs2 0.324 0.750 0.507
Cs3 0.676 0.250 0.493
Cs4 0.824 0.750 0.993
Te1 0.000 0.000 0.500
Te2 0.000 0.500 0.500
Te3 0.500 0.000 0.000
Te4 0.500 0.500 0.000
Se1 0.087 0.750 0.221
Se2 0.413 0.250 0.721
Se3 0.587 0.750 0.279
Se4 0.913 0.250 0.779
# Fermi-level density of states	15.2	states/eV/cell
# electronic total energy	-3.136	eV per atom
# symmetry	Pnma (62)
# energy relative to the elements, uncorrected	-0.64	eV/atom
# spin magnetization	0.15	μB/f.u.


(7)
# Cs3TeSe2 | the Alexandria database | GGA-PBE | relaxed
data_Cs3TeSe2
_chemical_formula_sum 'Cs6 Te2 Se4'
_space_group_name_H-M_alt 'P 1'
_space_group_IT_number 1
_space_group_name_Hall 'P 1'
_cell_length_a 9.783
_cell_length_b 9.783
_cell_length_c 9.783
_cell_angle_alpha 131.06
_cell_angle_beta 80.21
_cell_angle_gamma 120.88
loop_
_atom_site_label
_atom_site_fract_x
_atom_site_fract_y
_atom_site_fract_z
Cs1 0.040 0.750 0.290
Cs2 0.250 0.250 0.000
Cs3 0.460 0.750 0.710
Cs4 0.540 0.250 0.290
Cs5 0.750 0.750 0.000
Cs6 0.960 0.250 0.710
Te1 0.000 0.500 0.500
Te2 0.500 0.000 0.500
Se1 0.125 0.232 0.357
Se2 0.375 0.732 0.108
Se3 0.625 0.268 0.892
Se4 0.875 0.768 0.643
# Fermi-level density of states	13.1	states/eV/cell
# electronic total energy	-2.943	eV per atom
# symmetry	Ibam (72)
# energy relative to the elements, uncorrected	-0.83	eV/atom
# spin magnetization	0.79	μB/f.u.


(8)
# Cs3TeSe3 | the Alexandria database | GGA-PBE | relaxed
data_Cs3TeSe3
_chemical_formula_sum 'Cs6 Te2 Se6'
_space_group_name_H-M_alt 'P 1'
_space_group_IT_number 1
_space_group_name_Hall 'P 1'
_cell_length_a 10.617
_cell_length_b 10.617
_cell_length_c 7.365
_cell_angle_alpha 90.00
_cell_angle_beta 90.00
_cell_angle_gamma 120.00
loop_
_atom_site_label
_atom_site_fract_x
_atom_site_fract_y
_atom_site_fract_z
Cs1 0.082 0.371 0.250
Cs2 0.289 0.918 0.250
Cs3 0.371 0.289 0.750
Cs4 0.629 0.711 0.250
Cs5 0.711 0.082 0.750
Cs6 0.918 0.629 0.750
Te1 0.333 0.667 0.750
Te2 0.667 0.333 0.250
Se1 0.094 0.399 0.750
Se2 0.305 0.906 0.750
Se3 0.399 0.305 0.250
Se4 0.601 0.695 0.750
Se5 0.695 0.094 0.250
Se6 0.906 0.601 0.250
# Fermi-level density of states	8.6	states/eV/cell
# electronic total energy	-3.109	eV per atom
# symmetry	P6_3/m (176)
# energy relative to the elements, uncorrected	-0.80	eV/atom
# spin magnetization	0.89	μB/f.u.


(9)
# Cs2TeSe8 | the Alexandria database | GGA-PBE | relaxed
data_Cs2TeSe8
_chemical_formula_sum 'Cs2 Te1 Se8'
_space_group_name_H-M_alt 'P 1'
_space_group_IT_number 1
_space_group_name_Hall 'P 1'
_cell_length_a 5.894
_cell_length_b 6.851
_cell_length_c 11.494
_cell_angle_alpha 78.55
_cell_angle_beta 80.13
_cell_angle_gamma 82.84
loop_
_atom_site_label
_atom_site_fract_x
_atom_site_fract_y
_atom_site_fract_z
Cs1 0.078 0.328 0.231
Cs2 0.922 0.672 0.769
Te1 0.500 0.000 0.000
Se1 0.224 0.143 0.819
Se2 0.351 0.611 0.450
Se3 0.371 0.633 0.958
Se4 0.453 0.103 0.633
Se5 0.547 0.897 0.367
Se6 0.629 0.367 0.042
Se7 0.649 0.389 0.550
Se8 0.776 0.857 0.181
# electronic total energy	-3.369	eV per atom
# symmetry	P-1 (2)
# energy relative to the elements, uncorrected	-0.39	eV/atom
# spin magnetization	0.00	μB/f.u.


(10)
# Cs6Te2Se | the Alexandria database | GGA-PBE | relaxed
data_Cs6Te2Se
_chemical_formula_sum 'Cs6 Te2 Se1'
_space_group_name_H-M_alt 'P 1'
_space_group_IT_number 1
_space_group_name_Hall 'P 1'
_cell_length_a 10.795
_cell_length_b 10.795
_cell_length_c 10.795
_cell_angle_alpha 146.40
_cell_angle_beta 131.67
_cell_angle_gamma 60.14
loop_
_atom_site_label
_atom_site_fract_x
_atom_site_fract_y
_atom_site_fract_z
Cs1 0.082 0.338 0.744
Cs2 0.237 0.000 0.237
Cs3 0.405 0.662 0.744
Cs4 0.595 0.338 0.256
Cs5 0.763 0.000 0.763
Cs6 0.918 0.662 0.256
Te1 0.335 0.835 0.500
Te2 0.665 0.165 0.500
Se1 0.000 0.500 0.500
# Fermi-level density of states	0.0	states/eV/cell
# electronic total energy	-2.700	eV per atom
# symmetry	Immm (71)
# energy relative to the elements, uncorrected	-1.05	eV/atom
# spin magnetization	0.00	μB/f.u.


(11)
# Cs3Te2Se4 | the Alexandria database | GGA-PBE | relaxed
data_Cs3Te2Se4
_chemical_formula_sum 'Cs3 Te2 Se4'
_space_group_name_H-M_alt 'P 1'
_space_group_IT_number 1
_space_group_name_Hall 'P 1'
_cell_length_a 7.639
_cell_length_b 7.639
_cell_length_c 10.443
_cell_angle_alpha 106.34
_cell_angle_beta 106.34
_cell_angle_gamma 41.20
loop_
_atom_site_label
_atom_site_fract_x
_atom_site_fract_y
_atom_site_fract_z
Cs1 0.000 0.000 0.000
Cs2 0.350 0.350 0.300
Cs3 0.650 0.650 0.700
Te1 0.364 0.364 0.684
Te2 0.636 0.636 0.316
Se1 0.111 0.111 0.368
Se2 0.305 0.305 0.890
Se3 0.695 0.695 0.110
Se4 0.889 0.889 0.632
# Fermi-level density of states	3.0	states/eV/cell
# electronic total energy	-3.207	eV per atom
# symmetry	C2/m (12)
# energy relative to the elements, uncorrected	-0.68	eV/atom
# spin magnetization	0.00	μB/f.u.


(12)
# Cs2TeSe | the Alexandria database | GGA-PBE | relaxed
data_Cs2TeSe
_chemical_formula_sum 'Cs8 Te4 Se4'
_space_group_name_H-M_alt 'P 1'
_space_group_IT_number 1
_space_group_name_Hall 'P 1'
_cell_length_a 8.969
_cell_length_b 8.969
_cell_length_c 8.969
_cell_angle_alpha 90.00
_cell_angle_beta 90.00
_cell_angle_gamma 90.00
loop_
_atom_site_label
_atom_site_fract_x
_atom_site_fract_y
_atom_site_fract_z
Cs1 0.250 0.250 0.250
Cs2 0.250 0.250 0.750
Cs3 0.250 0.750 0.250
Cs4 0.250 0.750 0.750
Cs5 0.750 0.250 0.250
Cs6 0.750 0.250 0.750
Cs7 0.750 0.750 0.250
Cs8 0.750 0.750 0.750
Te1 0.000 0.000 0.000
Te2 0.000 0.500 0.500
Te3 0.500 0.000 0.500
Te4 0.500 0.500 0.000
Se1 0.000 0.000 0.500
Se2 0.000 0.500 0.000
Se3 0.500 0.000 0.000
Se4 0.500 0.500 0.500
# Fermi-level density of states	13.8	states/eV/cell
# electronic total energy	-2.635	eV per atom
# symmetry	Fm-3m (225)
# energy relative to the elements, uncorrected	-0.55	eV/atom
# spin magnetization	2.00	μB/f.u.